## BaLiRu (GGA-PBE)

Data for an optimized crystal structure of BaLiRu.

Unit cell a=3.5630 b=3.5630 c=10.5421 alpha=90.00 beta=90.00 gamma=90.00
Space group I4mm (No. 107)
Asymmetric unit:
1 Ba 0.0000 0.0000 0.0000 (multiplicity 2)
2 Li 0.0000 0.0000 0.7204 (multiplicity 2)
3 Ru 0.0000 0.0000 0.3040 (multiplicity 2)

Values from the calculation:
ΔH_f (0 K)   0.55 eV per atom
E above lowest polymorph   353 meV/atom

***

## BaLiRu2 (GGA-PBE)

Data for an optimized crystal structure of BaLiRu2.

Unit cell a=5.4887 b=10.0787 c=3.0534 alpha=90.00 beta=117.31 gamma=90.00
Space group C2/m (No. 12)
Asymmetric unit:
1 Ba 0.0000 0.0000 0.0000 (multiplicity 2)
2 Li 0.0000 0.5000 0.0000 (multiplicity 2)
3 Ru 0.2500 0.2500 0.5000 (multiplicity 4)

Values from the calculation:
ΔH_f (0 K)   0.82 eV per atom
E above lowest polymorph   569 meV/atom

***

## BaLiRu2 (GGA-PBE)

Data for an optimized crystal structure of BaLiRu2.

Unit cell a=4.3730 b=4.3730 c=18.9886 alpha=90.00 beta=90.00 gamma=90.00
Space group I-42d (No. 122)
Asymmetric unit:
1 Ba 0.0000 0.0000 0.0000 (multiplicity 4)
2 Li 0.0000 0.0000 0.5000 (multiplicity 4)
3 Ru 0.1167 0.7500 0.6250 (multiplicity 8)

Values from the calculation:
ΔH_f (0 K)   0.68 eV per atom
E above lowest polymorph   431 meV/atom

***

## BaLiRu (GGA-PBE)

Data for an optimized crystal structure of BaLiRu.

Unit cell a=4.4491 b=4.9022 c=7.5004 alpha=90.00 beta=90.00 gamma=90.00
Space group Pmm2 (No. 25)
Asymmetric unit:
1 Ba 0.0000 0.0000 0.0000 (multiplicity 1)
2 Ba 0.5000 0.5000 0.3697 (multiplicity 1)
3 Li 0.0000 0.5000 0.6665 (multiplicity 1)
4 Li 0.5000 0.5000 0.8295 (multiplicity 1)
5 Ru 0.0000 0.0000 0.5493 (multiplicity 1)
6 Ru 0.5000 0.0000 0.6746 (multiplicity 1)

Values from the calculation:
ΔH_f (0 K)   0.20 eV per atom
E above lowest polymorph   0 meV/atom

***

## BaLi4Ru (GGA-PBE)

Data for an optimized crystal structure of BaLi4Ru.

Unit cell a=7.7718 b=7.7718 c=7.7718 alpha=90.00 beta=90.00 gamma=90.00
Space group F-43m (No. 216)
Asymmetric unit:
1 Ba 0.0000 0.0000 0.0000 (multiplicity 4)
2 Li 0.1197 0.1197 0.6197 (multiplicity 16)
3 Ru 0.2500 0.2500 0.2500 (multiplicity 4)

Values from the calculation:
ΔH_f (0 K)   0.33 eV per atom

***

## BaLiRu2 (GGA-PBE)

Data for an optimized crystal structure of BaLiRu2.

Unit cell a=4.2419 b=5.5329 c=7.8604 alpha=90.00 beta=90.00 gamma=90.00
Space group Imm2 (No. 44)
Asymmetric unit:
1 Ba 0.0000 0.0000 0.0000 (multiplicity 2)
2 Li 0.0000 0.5000 0.8069 (multiplicity 2)
3 Ru 0.0000 0.0000 0.5560 (multiplicity 2)
4 Ru 0.0000 0.5000 0.1893 (multiplicity 2)

Values from the calculation:
ΔH_f (0 K)   0.57 eV per atom
E above lowest polymorph   317 meV/atom

***

## Ba2LiRu (GGA-PBE)

Data for an optimized crystal structure of Ba2LiRu.

Unit cell a=3.7056 b=5.5984 c=12.5628 alpha=90.00 beta=90.00 gamma=90.00
Space group Imm2 (No. 44)
Asymmetric unit:
1 Ba 0.0000 0.0000 0.0000 (multiplicity 2)
2 Ba 0.0000 0.5000 0.1948 (multiplicity 2)
3 Li 0.0000 0.0000 0.3471 (multiplicity 2)
4 Ru 0.0000 0.5000 0.6895 (multiplicity 2)

Values from the calculation:
ΔH_f (0 K)   0.40 eV per atom
E above lowest polymorph   128 meV/atom

***

## BaLiRu2 (GGA-PBE)

Data for an optimized crystal structure of BaLiRu2.

Unit cell a=3.2856 b=4.6343 c=5.0563 alpha=90.00 beta=90.00 gamma=90.00
Space group Pmmm (No. 47)
Asymmetric unit:
1 Ba 0.0000 0.0000 0.0000 (multiplicity 1)
2 Li 0.5000 0.5000 0.0000 (multiplicity 1)
3 Ru 0.0000 0.5000 0.5000 (multiplicity 1)
4 Ru 0.5000 0.0000 0.5000 (multiplicity 1)

Values from the calculation:
ΔH_f (0 K)   0.83 eV per atom
E above lowest polymorph   579 meV/atom

***

## BaLiRu (GGA-PBE)

Data for an optimized crystal structure of BaLiRu.

Unit cell a=11.9286 b=4.3817 c=6.3548 alpha=90.00 beta=99.19 gamma=90.00
Space group Cm (No. 8)
Asymmetric unit:
1 Ba 0.0000 0.0000 0.0000 (multiplicity 2)
2 Ba 0.2280 0.0000 0.6379 (multiplicity 2)
3 Li 0.0201 0.5000 0.3999 (multiplicity 2)
4 Li 0.3854 0.5000 0.4259 (multiplicity 2)
5 Ru 0.2174 0.5000 0.1452 (multiplicity 2)
6 Ru 0.3001 0.0000 0.1721 (multiplicity 2)

Values from the calculation:
ΔH_f (0 K)   0.23 eV per atom
E above lowest polymorph   31 meV/atom

***

## Ba2LiRu (GGA-PBE)

Data for an optimized crystal structure of Ba2LiRu.

Unit cell a=7.7935 b=7.7935 c=7.7935 alpha=90.00 beta=90.00 gamma=90.00
Space group Fm-3m (No. 225)
Asymmetric unit:
1 Ba 0.2500 0.2500 0.2500 (multiplicity 8)
2 Li 0.0000 0.0000 0.0000 (multiplicity 4)
3 Ru 0.0000 0.0000 0.5000 (multiplicity 4)

Values from the calculation:
ΔH_f (0 K)   0.41 eV per atom
E above lowest polymorph   137 meV/atom

***

## Ba2LiRu (GGA-PBE)

Data for an optimized crystal structure of Ba2LiRu.

Unit cell a=11.3095 b=11.3095 c=5.0230 alpha=90.00 beta=90.00 gamma=90.00
Space group I-42d (No. 122)
Asymmetric unit:
1 Ba 0.0460 0.2500 0.1250 (multiplicity 8)
2 Li 0.0000 0.0000 0.5000 (multiplicity 4)
3 Ru 0.0000 0.0000 0.0000 (multiplicity 4)

Values from the calculation:
ΔH_f (0 K)   0.42 eV per atom
E above lowest polymorph   142 meV/atom

***

## BaLiRu (GGA-PBE)

Data for an optimized crystal structure of BaLiRu.

Unit cell a=4.8253 b=4.8253 c=3.4727 alpha=90.00 beta=90.00 gamma=120.00
Space group P3m1 (No. 156)
Asymmetric unit:
1 Ba 0.0000 0.0000 0.0000 (multiplicity 1)
2 Li 0.6667 0.3333 0.5021 (multiplicity 1)
3 Ru 0.3333 0.6667 0.4930 (multiplicity 1)

Values from the calculation:
ΔH_f (0 K)   0.61 eV per atom
E above lowest polymorph   416 meV/atom

***

## Ba2LiRu (GGA-PBE)

Data for an optimized crystal structure of Ba2LiRu.

Unit cell a=7.6247 b=7.6247 c=7.6247 alpha=90.00 beta=90.00 gamma=90.00
Space group F-43m (No. 216)
Asymmetric unit:
1 Ba 0.0000 0.0000 0.0000 (multiplicity 4)
2 Ba 0.2500 0.2500 0.2500 (multiplicity 4)
3 Li 0.0000 0.0000 0.5000 (multiplicity 4)
4 Ru 0.2500 0.2500 0.7500 (multiplicity 4)

Values from the calculation:
ΔH_f (0 K)   0.58 eV per atom
E above lowest polymorph   299 meV/atom

***

## BaLiRu2 (GGA-PBE)

Data for an optimized crystal structure of BaLiRu2.

Unit cell a=3.9843 b=3.9843 c=4.9369 alpha=90.00 beta=90.00 gamma=90.00
Space group P4/mmm (No. 123)
Asymmetric unit:
1 Ba 0.0000 0.0000 0.0000 (multiplicity 1)
2 Li 0.5000 0.5000 0.0000 (multiplicity 1)
3 Ru 0.0000 0.5000 0.5000 (multiplicity 2)

Values from the calculation:
ΔH_f (0 K)   0.82 eV per atom
E above lowest polymorph   576 meV/atom

***

## BaLiRu2 (GGA-PBE)

Data for an optimized crystal structure of BaLiRu2.

Unit cell a=2.9196 b=4.3136 c=6.6439 alpha=90.00 beta=90.00 gamma=90.00
Space group Pmmm (No. 47)
Asymmetric unit:
1 Ba 0.0000 0.0000 0.0000 (multiplicity 1)
2 Li 0.0000 0.0000 0.5000 (multiplicity 1)
3 Ru 0.5000 0.5000 0.3292 (multiplicity 2)

Values from the calculation:
ΔH_f (0 K)   0.70 eV per atom
E above lowest polymorph   456 meV/atom

***

## Ba2LiRu (GGA-PBE)

Data for an optimized crystal structure of Ba2LiRu.

Unit cell a=5.2906 b=5.3302 c=9.5392 alpha=90.00 beta=90.00 gamma=90.00
Space group Cmmm (No. 65)
Asymmetric unit:
1 Ba 0.0000 0.0000 0.1950 (multiplicity 4)
2 Li 0.0000 0.5000 0.5000 (multiplicity 2)
3 Ru 0.0000 0.5000 0.0000 (multiplicity 2)

Values from the calculation:
ΔH_f (0 K)   0.37 eV per atom
E above lowest polymorph   93 meV/atom

***

## BaLiRu2 (GGA-PBE)

Data for an optimized crystal structure of BaLiRu2.

Unit cell a=6.7430 b=6.7430 c=6.7430 alpha=90.00 beta=90.00 gamma=90.00
Space group Fm-3m (No. 225)
Asymmetric unit:
1 Ba 0.0000 0.0000 0.0000 (multiplicity 4)
2 Li 0.0000 0.0000 0.5000 (multiplicity 4)
3 Ru 0.2500 0.2500 0.2500 (multiplicity 8)

Values from the calculation:
ΔH_f (0 K)   1.01 eV per atom
E above lowest polymorph   762 meV/atom

***

## BaLiRu (GGA-PBE)

Data for an optimized crystal structure of BaLiRu.

Unit cell a=12.1907 b=4.3458 c=6.0135 alpha=90.00 beta=93.32 gamma=90.00
Space group Cm (No. 8)
Asymmetric unit:
1 Ba 0.0000 0.0000 0.0000 (multiplicity 2)
2 Ba 0.1057 0.5000 0.4947 (multiplicity 2)
3 Li 0.2499 0.5000 0.0512 (multiplicity 2)
4 Li 0.3117 0.0000 0.7447 (multiplicity 2)
5 Ru 0.3283 0.0000 0.2974 (multiplicity 2)
6 Ru 0.3692 0.5000 0.4476 (multiplicity 2)

Values from the calculation:
ΔH_f (0 K)   0.22 eV per atom
E above lowest polymorph   25 meV/atom

***

## BaLiRu2 (GGA-PBE)

Data for an optimized crystal structure of BaLiRu2.

Unit cell a=3.3219 b=3.3219 c=7.3273 alpha=90.00 beta=90.00 gamma=90.00
Space group P4/mmm (No. 123)
Asymmetric unit:
1 Ba 0.0000 0.0000 0.0000 (multiplicity 1)
2 Li 0.0000 0.0000 0.5000 (multiplicity 1)
3 Ru 0.5000 0.5000 0.3451 (multiplicity 2)

Values from the calculation:
ΔH_f (0 K)   0.74 eV per atom
E above lowest polymorph   489 meV/atom

***

## Ba4LiRu (GGA-PBE)

Data for an optimized crystal structure of Ba4LiRu.

Unit cell a=10.0943 b=10.0943 c=10.0943 alpha=90.00 beta=90.00 gamma=90.00
Space group F-43m (No. 216)
Asymmetric unit:
1 Ba 0.1237 0.1237 0.3763 (multiplicity 16)
2 Li 0.0000 0.0000 0.0000 (multiplicity 4)
3 Ru 0.2500 0.2500 0.7500 (multiplicity 4)

Values from the calculation:
ΔH_f (0 K)   1.00 eV per atom

***

## BaLiRu2 (GGA-PBE)

Data for an optimized crystal structure of BaLiRu2.

Unit cell a=3.2203 b=5.0014 c=9.4281 alpha=90.00 beta=90.00 gamma=90.00
Space group Cmmm (No. 65)
Asymmetric unit:
1 Ba 0.0000 0.0000 0.0000 (multiplicity 2)
2 Li 0.0000 0.0000 0.5000 (multiplicity 2)
3 Ru 0.0000 0.5000 0.2774 (multiplicity 4)

Values from the calculation:
ΔH_f (0 K)   1.04 eV per atom
E above lowest polymorph   789 meV/atom

***

## Ba2LiRu (GGA-PBE)

Data for an optimized crystal structure of Ba2LiRu.

Unit cell a=4.6350 b=4.5764 c=12.2040 alpha=90.00 beta=90.00 gamma=90.00
Space group Amm2 (No. 38)
Asymmetric unit:
1 Ba 0.0000 0.0000 0.0000 (multiplicity 2)
2 Ba 0.5000 0.0000 0.2725 (multiplicity 2)
3 Li 0.5000 0.0000 0.5861 (multiplicity 2)
4 Ru 0.0000 0.0000 0.6766 (multiplicity 2)

Values from the calculation:
ΔH_f (0 K)   0.35 eV per atom
E above lowest polymorph   71 meV/atom

***

## Ba2LiRu (GGA-PBE)

Data for an optimized crystal structure of Ba2LiRu.

Unit cell a=4.5104 b=4.5104 c=24.1145 alpha=90.00 beta=90.00 gamma=120.00
Space group R3m (No. 160, hexagonal axes)
Asymmetric unit:
1 Ba 0.0000 0.0000 0.0000 (multiplicity 3)
2 Ba 0.0000 0.0000 0.1647 (multiplicity 3)
3 Li 0.0000 0.0000 0.4157 (multiplicity 3)
4 Ru 0.0000 0.0000 0.7492 (multiplicity 3)

Values from the calculation:
ΔH_f (0 K)   0.28 eV per atom
E above lowest polymorph   0 meV/atom

***

## BaLiRu2 (GGA-PBE)

Data for an optimized crystal structure of BaLiRu2.

Unit cell a=7.3918 b=4.2643 c=6.3693 alpha=90.00 beta=112.61 gamma=90.00
Space group Cm (No. 8)
Asymmetric unit:
1 Ba 0.0000 0.0000 0.0000 (multiplicity 2)
2 Li 0.1982 0.0000 0.5970 (multiplicity 2)
3 Ru 0.3017 0.5000 0.4066 (multiplicity 2)
4 Ru 0.4801 0.0000 0.4418 (multiplicity 2)

Values from the calculation:
ΔH_f (0 K)   0.25 eV per atom
E above lowest polymorph   0 meV/atom

***

## Ba2LiRu (GGA-PBE)

Data for an optimized crystal structure of Ba2LiRu.

Unit cell a=4.0541 b=4.0541 c=31.1775 alpha=90.00 beta=90.00 gamma=120.00
Space group R-3m (No. 166, hexagonal axes)
Asymmetric unit:
1 Ba 0.0000 0.0000 0.2312 (multiplicity 6)
2 Li 0.0000 0.0000 0.0000 (multiplicity 3)
3 Ru 0.0000 0.0000 0.5000 (multiplicity 3)

Values from the calculation:
ΔH_f (0 K)   0.52 eV per atom
E above lowest polymorph   247 meV/atom

***

## Ba2LiRu (GGA-PBE)

Data for an optimized crystal structure of Ba2LiRu.

Unit cell a=3.7862 b=3.7862 c=8.7071 alpha=90.00 beta=90.00 gamma=90.00
Space group P4mm (No. 99)
Asymmetric unit:
1 Ba 0.0000 0.0000 0.0000 (multiplicity 1)
2 Ba 0.5000 0.5000 0.4444 (multiplicity 1)
3 Li 0.0000 0.0000 0.6760 (multiplicity 1)
4 Ru 0.5000 0.5000 0.7633 (multiplicity 1)

Values from the calculation:
ΔH_f (0 K)   0.40 eV per atom
E above lowest polymorph   126 meV/atom

***

## BaLiRu (GGA-PBE)

Data for an optimized crystal structure of BaLiRu.

Unit cell a=11.9925 b=4.3821 c=8.0620 alpha=90.00 beta=130.29 gamma=90.00
Space group Cm (No. 8)
Asymmetric unit:
1 Ba 0.0000 0.0000 0.0000 (multiplicity 2)
2 Ba 0.1163 0.0000 0.6568 (multiplicity 2)
3 Li 0.1848 0.5000 0.3889 (multiplicity 2)
4 Li 0.3502 0.0000 0.4651 (multiplicity 2)
5 Ru 0.2950 0.5000 0.1709 (multiplicity 2)
6 Ru 0.3842 0.0000 0.1927 (multiplicity 2)

Values from the calculation:
ΔH_f (0 K)   0.21 eV per atom
E above lowest polymorph   16 meV/atom

***

## BaLiRu2 (GGA-PBE)

Data for an optimized crystal structure of BaLiRu2.

Unit cell a=5.1599 b=9.8981 c=3.0846 alpha=90.00 beta=90.00 gamma=90.00
Space group Cmmm (No. 65)
Asymmetric unit:
1 Ba 0.0000 0.0000 0.0000 (multiplicity 2)
2 Li 0.0000 0.5000 0.0000 (multiplicity 2)
3 Ru 0.2500 0.2500 0.5000 (multiplicity 4)

Values from the calculation:
ΔH_f (0 K)   0.88 eV per atom
E above lowest polymorph   628 meV/atom

***

| no. | raw total energy (eV per atom) |
| --- | --- |
| 1 | -3.819 |
| 2 | -4.779 |
| 3 | -4.918 |
| 4 | -4.172 |
| 5 | -2.812 |
| 6 | -5.031 |
| 7 | -3.354 |
| 8 | -4.769 |
| 9 | -4.141 |
| 10 | -3.344 |
| 11 | -3.340 |
| 12 | -3.756 |
| 13 | -3.182 |
| 14 | -4.772 |
| 15 | -4.893 |
| 16 | -3.388 |
| 17 | -4.586 |
| 18 | -4.147 |
| 19 | -4.859 |
| 20 | -2.143 |
| 21 | -4.559 |
| 22 | -3.411 |
| 23 | -3.481 |
| 24 | -5.348 |
| 25 | -3.235 |
| 26 | -3.355 |
| 27 | -4.156 |
| 28 | -4.721 |